{"formula": "CdB2O", "functional": "GGA-PBE", "state": "optimized geometry", "e_form_raw_ev_per_fu": 1.3, "spacegroup": "I4_1/amd, No. 141", "magnetic_moment_mub_per_cell": 0.00, "rho_g_cm3": 5.067, "cell": [[-0.218, -2.162, 2.393], [3.218, 0.012, 0.304], [0.882, 5.923, 7.615]], "species": ["B", "B", "B", "B", "O", "O", "Cd", "Cd"], "frac_coords": [[0.375, 0.125, 0.250], [0.375, 0.625, 0.250], [0.375, 0.625, 0.750], [0.875, 0.625, 0.750], [0.500, 0.500, 0.000], [0.250, 0.750, 0.500], [0.000, 0.000, 0.000], [0.750, 0.250, 0.500]]}



{"formula": "CdB2O4", "functional": "GGA-PBE", "state": "optimized geometry", "e_form_raw_ev_per_fu": -13.6, "spacegroup": "P1, No. 1", "magnetic_moment_mub_per_cell": 0.00, "rho_g_cm3": 3.754, "cell": [[-4.702, 0.493, -0.464], [-0.195, -1.719, 4.424], [2.130, 8.246, -0.008]], "species": ["Cd", "Cd", "B", "B", "B", "B", "O", "O", "O", "O", "O", "O", "O", "O"], "frac_coords": [[0.177, 0.774, 0.585], [0.062, 0.158, 0.085], [0.648, 0.317, 0.694], [0.628, 0.796, 0.194], [0.654, 0.359, 0.282], [0.173, 0.378, 0.782], [0.935, 0.416, 0.354], [0.496, 0.567, 0.242], [0.924, 0.497, 0.742], [0.609, 0.016, 0.612], [0.495, 0.065, 0.229], [0.187, 0.169, 0.854], [0.414, 0.485, 0.729], [0.848, 0.753, 0.113]]}



{"formula": "Cd3B2O6", "functional": "GGA-PBE", "state": "optimized geometry", "e_form_raw_ev_per_fu": -18.8, "spacegroup": "P-1, No. 2", "magnetic_moment_mub_per_cell": 0.00, "rho_g_cm3": 5.350, "cell": [[-4.603, 2.148, -3.591], [-4.386, 0.680, 4.487], [0.303, 7.344, 1.797]], "species": ["Cd", "Cd", "Cd", "Cd", "Cd", "Cd", "B", "B", "B", "B", "O", "O", "O", "O", "O", "O", "O", "O", "O", "O", "O", "O"], "frac_coords": [[0.272, 0.935, 0.441], [0.728, 0.065, 0.559], [0.623, 0.239, 0.000], [0.377, 0.761, 0.000], [0.870, 0.556, 0.294], [0.130, 0.444, 0.706], [0.620, 0.567, 0.637], [0.380, 0.433, 0.363], [0.088, 0.168, 0.127], [0.912, 0.832, 0.873], [0.608, 0.758, 0.498], [0.392, 0.242, 0.502], [0.466, 0.530, 0.795], [0.534, 0.470, 0.205], [0.306, 0.070, 0.117], [0.694, 0.930, 0.883], [0.791, 0.405, 0.610], [0.209, 0.595, 0.390], [0.987, 0.257, 0.973], [0.013, 0.743, 0.027], [0.980, 0.174, 0.303], [0.020, 0.826, 0.697]]}